1.
# BaCuAs

A relaxed structure of BaCuAs (PBE, the Alexandria database).

## Properties
* space group: P1 (1)

Cell lengths 6.597, 4.612, 6.263 Å; angles 111.10, 83.04, 97.80 degrees
Sites, in units of the cell vectors:
Cu: 0.361 0.453 0.576
Cu: 0.727 0.251 0.490
As: 0.612 0.654 0.351
As: 0.028 0.433 0.740
Ba: 0.120 0.758 0.316
Ba: 0.685 0.969 0.919


2.
# Re4As

A relaxed structure of Re4As (PBE, the Alexandria database).

## Properties
* space group: I4/m (87)
* distance to the lowest polymorph of the same formula: 0 kJ/mol of formula units

Cell lengths 4.802, 4.802, 4.802 Å; angles 99.67, 99.67, 131.61 degrees
Sites, in units of the cell vectors:
Re: 0.419 0.204 0.623
Re: 0.581 0.796 0.377
Re: 0.796 0.419 0.216
Re: 0.204 0.581 0.784
As: 0.000 0.000 0.000


3.
# NaMg14Mo

A relaxed structure of NaMg14Mo (PBE, the Alexandria database).

## Properties
* space group: P-6m2 (187)
* distance to the lowest polymorph of the same formula: 20 kJ/mol of formula units

Cell lengths 6.354, 6.354, 10.169 Å; angles 90.00, 90.00, 120.00 degrees
Each line ends with the local moment (μB).
Sites, in units of the cell vectors:
Mg: 0.497 0.503 0.000  0.00
Mg: 0.006 0.503 0.000  0.00
Mg: 0.162 0.838 0.735  0.00
Mg: 0.667 0.333 0.755  0.01
Mg: 0.676 0.838 0.735  0.00
Mg: 0.162 0.324 0.735  0.00
Mg: 0.162 0.838 0.265  0.00
Mg: 0.162 0.324 0.265  0.00
Mg: 0.497 0.994 0.000  0.00
Mg: 0.502 0.498 0.500  -0.01
Mg: 0.502 0.003 0.500  -0.01
Mg: 0.676 0.838 0.265  0.00
Mg: 0.667 0.333 0.245  0.01
Mg: 0.997 0.498 0.500  -0.01
Mo: 0.000 0.000 0.500  1.00
Na: 0.000 0.000 0.000  0.00


Number 1: ΔH_f (0 K) -0.607 eV per atom. Number 2: ΔH_f (0 K) 0.336 eV per atom. Number 3: ΔH_f (0 K) 0.123 eV per atom.